(1)
Here is a relaxed structure of RbAuSe2Br from Alexandria via LeMat-Bulk. Energies are from PBE-GGA.

Cell lengths 5.175, 5.175, 5.641 Å; angles 90.00, 90.00, 90.00 degrees
Space group P4/mmm (No. 123)
Symmetry-distinct sites (fractional):
Rb1 0.000 0.000 0.000 x1
Au1 0.500 0.500 0.500 x1
Se1 0.000 0.500 0.500 x2
Br1 0.500 0.500 0.000 x1

As for the energy relative to the lowest polymorph listed for this composition: 0 meV/atom. The calculation puts the formation energy without anion corrections at -0.27 eV per atom.



(2)
Here is a relaxed structure of MoAu3Br from Alexandria via LeMat-Bulk. Energies are from PBE-GGA.

Cell lengths 5.105, 5.105, 5.105 Å; angles 90.00, 90.00, 90.00 degrees
Space group Pm-3m (No. 221)
Symmetry-distinct sites (fractional):
Mo1 0.000 0.000 0.000 x1
Au1 0.000 0.500 0.500 x3
Br1 0.500 0.500 0.500 x1

As for the energy relative to the lowest polymorph listed for this composition: 406 meV/atom. The calculation puts the formation energy without anion corrections at 1.57 eV per atom.



(3)
Here is a relaxed structure of Zr2Ag from Alexandria via LeMat-Bulk. Energies are from PBE-GGA.

Cell lengths 3.2199, 3.2199, 7.3393 Å; angles 90.00, 90.00, 120.00 degrees
Space group P-3m1 (No. 164)
Symmetry-distinct sites (fractional):
Zr1 0.3333 0.6667 0.3329 x2
Ag1 0.0000 0.0000 0.0000 x1

The formation energy from the elements comes out at 55 meV/atom.



(4)
Here is a relaxed structure of FeRe2Cl from Alexandria via LeMat-Bulk. Energies are from PBE-GGA.

Cell lengths 4.403, 4.403, 2.772 Å; angles 90.00, 90.00, 90.00 degrees
Space group P4/mmm (No. 123)
Symmetry-distinct sites (fractional):
Fe1 0.000 0.000 0.000 x1
Re1 0.000 0.500 0.500 x2
Cl1 0.500 0.500 0.000 x1

As for the energy relative to the lowest polymorph listed for this composition: 713 meV/atom. The calculation puts the formation energy without anion corrections at 1.02 eV per atom.



(5)
Here is a relaxed structure of La12Nd7Cd from Alexandria via LeMat-Bulk. Energies are from PBE-GGA.

Cell lengths 11.783, 11.783, 11.783 Å; angles 90.00, 90.00, 90.00 degrees
Space group Im-3 (No. 204)
Symmetry-distinct sites (fractional):
La1 0.000 0.243 0.241 x24
Nd1 0.000 0.000 0.500 x6
Nd2 0.250 0.250 0.250 x8
Cd1 0.000 0.000 0.000 x2

The formation energy from the elements comes out at 515 meV/atom.



(6)
Here is a relaxed structure of Sr2PaNiS5 from Alexandria via LeMat-Bulk. Energies are from PBE-GGA.

Cell lengths 3.994, 17.118, 12.465 Å; angles 90.00, 90.00, 90.00 degrees
Space group Cmc2_1 (No. 36)
Symmetry-distinct sites (fractional):
Sr1 0.000 0.110 0.000 x4
Sr2 0.000 0.113 0.347 x4
Pa1 0.000 0.191 0.677 x4
Ni1 0.000 0.433 0.081 x4
S1 0.000 0.040 0.660 x4
S2 0.000 0.302 0.324 x4
S3 0.000 0.304 0.031 x4
S4 0.000 0.346 0.673 x4
S5 0.000 0.499 0.923 x4

The calculation puts the formation energy without anion corrections at -1.59 eV per atom.



(7)
Here is a relaxed structure of MnTlOs2 from Alexandria via LeMat-Bulk. Energies are from PBE-GGA.

Cell lengths 3.029, 3.029, 6.933 Å; angles 90.00, 90.00, 90.00 degrees
Space group P4/mmm (No. 123)
Symmetry-distinct sites (fractional):
Mn1 0.000 0.000 0.000 x1
Tl1 0.000 0.000 0.500 x1
Os1 0.500 0.500 0.201 x2

As for the energy relative to the lowest polymorph listed for this composition: 114 meV/atom. The formation energy from the elements comes out at 598 meV/atom.



(8)
Here is a relaxed structure of Cs2WI2Br4 from Alexandria via LeMat-Bulk. Energies are from PBE-GGA.

Cell lengths 8.063, 8.063, 11.160 Å; angles 90.00, 90.00, 90.00 degrees
Space group I4/mmm (No. 139)
Symmetry-distinct sites (fractional):
Cs1 0.000 0.500 0.250 x4
W1 0.000 0.000 0.000 x2
I1 0.000 0.000 0.249 x4
Br1 0.224 0.224 0.000 x8

The calculation puts the formation energy without anion corrections at -0.97 eV per atom.



(9)
Here is a relaxed structure of GaAgF from Alexandria via LeMat-Bulk. Energies are from PBE-GGA.

Cell lengths 3.009, 5.372, 7.829 Å; angles 109.03, 98.98, 90.76 degrees
Space group P-1 (No. 2)
Symmetry-distinct sites (fractional):
Ga1 0.107 0.134 0.170 x2
Ag1 0.311 0.462 0.647 x2
F1 0.160 0.874 0.287 x2

The calculation puts the formation energy without anion corrections at -0.92 eV per atom.



(10)
Here is a relaxed structure of Rb4Tb3SmSe8 from Alexandria via LeMat-Bulk. Energies are from PBE-GGA.

Cell lengths 8.5533, 8.5533, 24.0106 Å; angles 90.00, 90.00, 120.00 degrees
Space group R-3m (No. 166, hexagonal axes)
Symmetry-distinct sites (fractional):
Rb1 0.0000 0.0000 0.0000 x3
Rb2 0.0000 0.5000 0.0000 x9
Tb1 0.0000 0.5000 0.5000 x9
Sm1 0.0000 0.0000 0.5000 x3
Se1 0.0000 0.0000 0.2319 x6
Se2 0.0035 0.5017 0.7676 x18

The calculation puts the formation energy without anion corrections at -1.74 eV per atom.



(11)
Here is a relaxed structure of LaGe3O from Alexandria via LeMat-Bulk. Energies are from PBE-GGA.

Cell lengths 4.581, 4.581, 4.581 Å; angles 90.00, 90.00, 90.00 degrees
Space group Pm-3m (No. 221)
Symmetry-distinct sites (fractional):
La1 0.000 0.000 0.000 x1
Ge1 0.000 0.500 0.500 x3
O1 0.500 0.500 0.500 x1

As for the energy relative to the lowest polymorph listed for this composition: 0 meV/atom. The calculation puts the formation energy without anion corrections at -0.50 eV per atom.



no.,V (Å³ per cell),E (eV per atom),total magnetization (μB/cell)
1,151,-2.85,0.27
2,133,-2.90,4.39
3,66,-6.59,0.00
4,54,-7.78,0.00
5,1636,-4.16,0.00
6,852,-5.96,2.59
7,64,-7.90,2.12
8,725,-3.69,4.00
9,118,-3.51,0.00
10,1521,-4.89,0.00
11,96,-5.25,0.00